{"formula": "Pt3Au2", "functional": "PBE-GGA", "state": "optimized geometry", "cell": [[2.827, 0.000, 0.000], [-1.414, 2.449, 0.000], [0.000, 0.000, 11.991]], "species": ["Pt", "Pt", "Pt", "Au", "Au"], "fractional_positions": [[0.000, 0.000, 0.000], [0.333, 0.667, 0.402], [0.667, 0.333, 0.598], [0.333, 0.667, 0.799], [0.667, 0.333, 0.201]], "magnetic_moment_mub_per_cell": 0.00, "de_polymorph_ev_per_atom": 0.059, "spacegroup": "P-3m1", "e_form_ev_per_fu": 0.282, "dft_energy_ev_per_cell": -24.39}